1.
VASP calculation (PBE) on a geometry-optimized PuThCu structure.

Calculated values
D(E_F)	20.296	states/eV per cell
V	278.7	Å³ per cell
energy above the most stable polymorph in this dataset	216	meV per atom
final energy	-0.6109	Ry per atom
total magnetization	0.0000	μB per atom
ΔE_f	0.3048	eV per atom

Lattice parameters (Å, degrees): 10.8711 3.5082 7.3075 90.00 90.00 90.00
Last column: nearest neighbours and their distance in Å.
Element x y z (fractional)
Pu  0.0650  0.2500  0.0326  2 Pu 2.30
Pu  0.4350  0.7500  0.5326  2 Pu 2.30
Pu  0.5650  0.2500  0.4674  2 Pu 2.30
Pu  0.9350  0.7500  0.9674  2 Pu 2.30
Th  0.1125  0.2500  0.6345  4 Cu 2.80-3.05, 1 Pu 2.95
Th  0.3875  0.7500  0.1345  4 Cu 2.80-3.05, 1 Pu 2.95
Th  0.6125  0.2500  0.8655  4 Cu 2.80-3.05, 1 Pu 2.95
Th  0.8875  0.7500  0.3655  4 Cu 2.80-3.05, 1 Pu 2.95
Cu  0.1666  0.7500  0.3310  4 Th 2.80-3.05, 2 Pu 3.01
Cu  0.3334  0.2500  0.8310  4 Th 2.80-3.05, 2 Pu 3.01
Cu  0.6666  0.7500  0.1690  4 Th 2.80-3.05, 2 Pu 3.01
Cu  0.8334  0.2500  0.6690  4 Th 2.80-3.05, 2 Pu 3.01

=====

2.
VASP calculation (PBE) on a geometry-optimized PuThCu4 structure.

Calculated values
D(E_F)	11.717	states/eV per cell
V	105.0	Å³ per cell
energy above the most stable polymorph in this dataset	11	meV per atom
final energy	-0.4689	Ry per atom
total magnetization	1.0183	μB per atom
ΔE_f	-0.0230	eV per atom

Lattice parameters (Å, degrees): 5.2954 5.2954 5.2954 60.00 60.00 60.00
Last column: nearest neighbours and their distance in Å.
Element x y z (fractional)
Pu  0.0000  0.0000  0.0000  12 Cu 3.10, 4 Th 3.24
Th  0.7500  0.7500  0.7500  12 Cu 3.10, 4 Pu 3.24
Cu  0.3749  0.3749  0.3749  6 Cu 2.65
Cu  0.3749  0.3749  0.8752  6 Cu 2.65
Cu  0.3749  0.8752  0.3749  6 Cu 2.65
Cu  0.8752  0.3749  0.3749  6 Cu 2.65

=====

3.
VASP calculation (PBE) on a geometry-optimized PuTh2Cu structure.

Calculated values
D(E_F)	11.076	states/eV per cell
V	98.9	Å³ per cell
energy above the most stable polymorph in this dataset	97	meV per atom
final energy	-0.6011	Ry per atom
total magnetization	1.8110	μB per atom
ΔE_f	0.1388	eV per atom

Lattice parameters (Å, degrees): 5.1913 5.1913 5.1913 60.00 60.00 60.00
Last column: nearest neighbours and their distance in Å.
Element x y z (fractional)
Pu  0.0000  0.0000  0.0000  8 Th 3.18
Th  0.2500  0.2500  0.2500  4 Cu 3.18, 4 Pu 3.18
Th  0.7500  0.7500  0.7500  4 Cu 3.18, 4 Pu 3.18
Cu  0.5000  0.5000  0.5000  8 Th 3.18

=====

4.
VASP calculation (PBE) on a geometry-optimized PuThCu structure.

Calculated values
D(E_F)	5.646	states/eV per cell
V	70.1	Å³ per cell
energy above the most stable polymorph in this dataset	75	meV per atom
final energy	-0.6212	Ry per atom
total magnetization	1.8731	μB per atom
ΔE_f	0.1638	eV per atom

Lattice parameters (Å, degrees): 4.8175 4.8175 3.4855 90.00 90.00 120.00
Last column: nearest neighbours and their distance in Å.
Element x y z (fractional)
Pu  0.0000  0.0000  0.0000  3 Cu 2.94, 3 Th 3.07
Th  0.3333  0.6667  0.6241  3 Cu 3.04, 3 Pu 3.07
Cu  0.6667  0.3333  0.2734  3 Pu 2.94, 3 Th 3.04

=====

5.
VASP calculation (PBE) on a geometry-optimized Pu2ThCu9 structure.

Calculated values
D(E_F)	19.622	states/eV per cell
V	194.2	Å³ per cell
final energy	-0.4530	Ry per atom
total magnetization	0.9652	μB per atom
ΔE_f	-0.0849	eV per atom

Lattice parameters (Å, degrees): 8.8769 8.8769 8.8769 33.93 33.93 33.93
Last column: nearest neighbours and their distance in Å.
Element x y z (fractional)
Pu  0.1487  0.1487  0.1487  12 Cu 3.01-3.09, 3 Pu 3.12
Pu  0.8513  0.8513  0.8513  12 Cu 3.01-3.09, 3 Pu 3.12
Th  0.0000  0.0000  0.0000  18 Cu 2.99-3.29
Cu  0.0858  0.5787  0.5787  7 Cu 2.50-2.63
Cu  0.3314  0.3314  0.3314  6 Cu 2.50-2.55
Cu  0.4213  0.4213  0.9142  7 Cu 2.50-2.63
Cu  0.4213  0.9142  0.4213  7 Cu 2.50-2.63
Cu  0.5000  0.5000  0.5000  6 Cu 2.60
Cu  0.5787  0.0858  0.5787  7 Cu 2.50-2.63
Cu  0.5787  0.5787  0.0858  7 Cu 2.50-2.63
Cu  0.6686  0.6686  0.6686  6 Cu 2.50-2.55
Cu  0.9142  0.4213  0.4213  7 Cu 2.50-2.63

=====

6.
VASP calculation (PBE) on a geometry-optimized PuThCu structure.

Calculated values
D(E_F)	7.135	states/eV per cell
V	72.8	Å³ per cell
energy above the most stable polymorph in this dataset	0	meV per atom
final energy	-0.6267	Ry per atom
total magnetization	2.0835	μB per atom
ΔE_f	0.0892	eV per atom

Lattice parameters (Å, degrees): 6.2205 6.2205 6.2205 146.56 146.56 48.01
Last column: nearest neighbours and their distance in Å.
Element x y z (fractional)
Pu  0.0000  0.0000  0.0000  4 Cu 3.04, 1 Th 3.35
Th  0.2951  0.2951  0.0000  4 Cu 3.04, 1 Pu 3.35
Cu  0.6475  0.6475  0.0000  4 Pu 3.04, 4 Th 3.04